1.
LiLaZrPd | PBE | optimized geometry

a = 4.8718 Å, b = 4.8718 Å, c = 4.8718 Å
α = 60.00°, β = 60.00°, γ = 60.00°
Positions (direct):
Li 0.0000 0.0000 0.0000
La 0.5000 0.5000 0.5000
Zr 0.7500 0.7500 0.7500
Pd 0.2500 0.2500 0.2500

Calculated values
As for the space-group type: F-43m. The polymorph energy (0 for the lowest one) is 0.1305 eV per atom.

***

2.
Mg2Os | PBE | optimized geometry

a = 7.6500 Å, b = 4.6739 Å, c = 11.6988 Å
α = 90.00°, β = 100.81°, γ = 90.00°
Positions (direct):
Mg 0.0382 0.2500 0.3135
Mg 0.0532 0.2500 0.0825
Mg 0.0665 0.2500 0.5642
Mg 0.0919 0.2500 0.8230
Mg 0.2867 0.7500 0.3461
Mg 0.2905 0.7500 0.1043
Mg 0.3885 0.2500 0.4860
Mg 0.3912 0.2500 0.9880
Mg 0.6088 0.7500 0.0120
Mg 0.6115 0.7500 0.5140
Mg 0.7095 0.2500 0.8957
Mg 0.7133 0.2500 0.6539
Mg 0.9081 0.7500 0.1770
Mg 0.9335 0.7500 0.4358
Mg 0.9468 0.7500 0.9175
Mg 0.9618 0.7500 0.6865
Os 0.2888 0.7500 0.6046
Os 0.2963 0.7500 0.8434
Os 0.3896 0.2500 0.7316
Os 0.4183 0.2500 0.2421
Os 0.5817 0.7500 0.7579
Os 0.6104 0.7500 0.2684
Os 0.7037 0.2500 0.1566
Os 0.7112 0.2500 0.3954

Calculated values
As for the space-group type: P2_1/m. As for the total energy: -13.701 eV per formula unit.

***

3.
TaB2Pt2 | PBE | optimized geometry

a = 5.2223 Å, b = 5.2223 Å, c = 5.2223 Å
α = 138.56°, β = 138.56°, γ = 60.04°
Positions (direct):
Ta 0.0000 0.0000 0.0000
B 0.4065 0.4065 0.0000
B 0.5935 0.5935 0.0000
Pt 0.2500 0.7500 0.5000
Pt 0.7500 0.2500 0.5000

Calculated values
As for the space-group type: I4/mmm. As for the total energy: -38.273 eV per formula unit.

***

4.
Li2DyPa5 | PBE | optimized geometry

a = 4.2907 Å, b = 4.2907 Å, c = 12.9913 Å
α = 90.00°, β = 90.00°, γ = 90.00°
Positions (direct):
Li 0.0000 0.0000 0.1102
Li 0.0000 0.0000 0.8898
Dy 0.5000 0.5000 0.5000
Pa 0.0000 0.0000 0.5000
Pa 0.0000 0.5000 0.3025
Pa 0.0000 0.5000 0.6975
Pa 0.5000 0.0000 0.3025
Pa 0.5000 0.0000 0.6975

Calculated values
As for the space-group type: P4/mmm. As for the total energy: -51.169 eV per formula unit.

***

5.
Gd3Hf3FeTe2 | PBE | optimized geometry

a = 8.0151 Å, b = 8.0151 Å, c = 3.8754 Å
α = 90.00°, β = 90.00°, γ = 120.00°
Positions (direct):
Gd 0.0000 0.3972 0.0000
Gd 0.3972 0.0000 0.0000
Gd 0.6028 0.6028 0.0000
Hf 0.0000 0.7790 0.5000
Hf 0.2210 0.2210 0.5000
Hf 0.7790 0.0000 0.5000
Fe 0.0000 0.0000 0.0000
Te 0.3333 0.6667 0.5000
Te 0.6667 0.3333 0.5000

Calculated values
As for the space-group type: P-62m. The polymorph energy (0 for the lowest one) is 0.0000 eV per atom.

***

6.
Pr2Ga5Ni3 | PBE | optimized geometry

a = 8.4752 Å, b = 8.4752 Å, c = 8.4752 Å
α = 107.07°, β = 86.04°, γ = 140.86°
Positions (direct):
Pr 0.1376 0.2251 0.3627
Pr 0.3624 0.7251 0.0876
Pr 0.6376 0.2749 0.9124
Pr 0.8624 0.7749 0.6373
Ga 0.0344 0.7500 0.2844
Ga 0.0938 0.6633 0.7571
Ga 0.2500 0.2500 0.0000
Ga 0.4062 0.1633 0.5694
Ga 0.4656 0.7500 0.7156
Ga 0.5344 0.2500 0.2844
Ga 0.5938 0.8367 0.4306
Ga 0.7500 0.7500 0.0000
Ga 0.9062 0.3367 0.2429
Ga 0.9656 0.2500 0.7156
Ni 0.1409 0.9015 0.0423
Ni 0.2500 0.7500 0.5000
Ni 0.3591 0.4015 0.7606
Ni 0.6409 0.5985 0.2394
Ni 0.7500 0.2500 0.5000
Ni 0.8591 0.0985 0.9577

Calculated values
As for the space-group type: Ibam. As for the total energy: -47.359 eV per formula unit.

***

7.
RbNiAgTe2S | PBE | optimized geometry

a = 8.0429 Å, b = 8.0429 Å, c = 10.8171 Å
α = 90.00°, β = 90.00°, γ = 152.00°
Positions (direct):
Rb 0.2485 0.7515 0.7500
Rb 0.7515 0.2485 0.2500
Ni 0.5000 0.5000 0.0000
Ni 0.5000 0.5000 0.5000
Ag 0.0408 0.9592 0.2500
Ag 0.9592 0.0408 0.7500
Te 0.1082 0.8918 0.0162
Te 0.1082 0.8918 0.4838
Te 0.8918 0.1082 0.5162
Te 0.8918 0.1082 0.9838
S 0.4378 0.5622 0.2500
S 0.5622 0.4378 0.7500

Calculated values
As for the space-group type: Cmcm. As for the total energy: -20.912 eV per formula unit.

***

8.
Tb2ErCu4Si4 | PBE | optimized geometry

a = 7.8469 Å, b = 7.8469 Å, c = 7.8469 Å
α = 149.45°, β = 130.96°, γ = 58.89°
Positions (direct):
Tb 0.1297 0.1297 0.0000
Tb 0.8703 0.8703 0.0000
Er 0.5000 0.0000 0.5000
Cu 0.1407 0.3313 0.8094
Cu 0.4781 0.6687 0.8094
Cu 0.5219 0.3313 0.1906
Cu 0.8593 0.6687 0.1906
Si 0.1862 0.5000 0.6862
Si 0.2846 0.7846 0.5000
Si 0.7154 0.2154 0.5000
Si 0.8138 0.5000 0.3138

Calculated values
As for the space-group type: Immm. As for the total energy: -57.337 eV per formula unit.

***

The V results, record by record, are as follows: 20.44 17.12 12.35 29.90 23.96 17.72 27.37 16.73 Å³/atom.